11
Lattice="5.835 0.051 0.077 -0.890 8.062 -0.004 -0.890 -3.108 7.438" Properties=species:S:1:pos:R:3 comment="KCe2Br8 PBE-GGA relaxed" energy_ev_per_cell=-44.8 dos_at_fermi_per_ev_atom=1.02 space_group="No. 12" pbc="T T T"
K 2.917 0.026 0.038
Br 3.943 5.556 5.070
Ce -0.890 4.500 2.369
Br 2.027 5.228 1.940
Br 3.481 2.020 3.033
Ce -0.890 0.454 5.065
Br 0.111 -0.551 2.442
Br 2.027 -0.224 5.572
Br 3.943 2.539 7.080
Br 0.111 2.466 0.432
Br 0.574 2.984 4.479